Here is a relaxed structure of ThReSi2Rh from Alexandria. Energies are from PBE-GGA.

Summary:
The formation energy (no corrections) is -818 meV per atom. Its size of the total moment is 0.0000 μB per atom.

```
data_ThReSi2Rh
_symmetry_space_group_name_H-M 'I -4 m 2'
_symmetry_Int_Tables_number 119
_symmetry_space_group_name_Hall 'I -4 -2'
_cell_length_a 4.241
_cell_length_b 4.241
_cell_length_c 9.863
_cell_angle_alpha 90.00
_cell_angle_beta 90.00
_cell_angle_gamma 90.00
loop_
_atom_site_label
_atom_site_type_symbol
_atom_site_fract_x
_atom_site_fract_y
_atom_site_fract_z
Th1 Th 0.000 0.000 0.000
Re1 Re 0.000 0.500 0.250
Si1 Si 0.000 0.000 0.371
Rh1 Rh 0.000 0.500 0.750
```